[1]
Crystalline K2Rb3CuSb2 at its relaxed geometry. Source: OQMD, functional PBE-GGA.

For the distance to the lowest polymorph of the same formula, the calculation gives 2.55 kJ per mole of atoms.

The structure belongs to space group R-3m (No. 166, hexagonal axes); the cell edges are 6.1247, 6.1247 and 29.0050 Å and the angles 90.00°, 90.00° and 120.00°. The asymmetric unit holds K at (0.0000, 0.0000, 0.1354), Rb at (0.0000, 0.0000, 0.0000), Rb at (0.0000, 0.0000, 0.2824), Cu at (0.0000, 0.0000, 0.5000) and Sb at (0.0000, 0.0000, 0.4137).


[2]
Crystalline BaLiP2Os at its relaxed geometry. Source: OQMD, functional PBE-GGA.

Its energy is -5.831 eV per atom. For the total magnetization, the calculation gives 0.00 μB/f.u.

The structure belongs to space group I-4m2 (No. 119); the cell edges are 4.0618, 4.0618 and 12.2217 Å and the angles 90.00°, 90.00° and 90.00°. The asymmetric unit holds Ba at (0.0000, 0.0000, 0.0000), Li at (0.0000, 0.5000, 0.7500), P at (0.0000, 0.0000, 0.3448) and Os at (0.0000, 0.5000, 0.2500).


[3]
Crystalline PuSc2 at its relaxed geometry. Source: OQMD, functional PBE-GGA.

The formation energy comes out at 2.553 eV per atom. For the total magnetization, the calculation gives 5.94 μB/f.u.

The structure belongs to space group Fd-3m (No. 227, origin choice 2); the cell edges are 11.1601, 11.1601 and 11.1601 Å and the angles 90.00°, 90.00° and 90.00°. The asymmetric unit holds Pu at (0.1250, 0.1250, 0.1250) and Sc at (0.0000, 0.0000, 0.0000).


[4]
Crystalline ScNiSbMo at its relaxed geometry. Source: OQMD, functional PBE-GGA.

For the total magnetization, the calculation gives 0.00 μB/f.u. For the distance to the lowest polymorph of the same formula, the calculation gives 0.00 kJ per mole of atoms.

The structure belongs to space group F-43m (No. 216); the cell edges are 6.4462, 6.4462 and 6.4462 Å and the angles 90.00°, 90.00° and 90.00°. The asymmetric unit holds Sc at (0.0000, 0.0000, 0.0000), Ni at (0.2500, 0.2500, 0.7500), Sb at (0.0000, 0.0000, 0.5000) and Mo at (0.2500, 0.2500, 0.2500).


[5]
Crystalline CsPrCoTe3 at its relaxed geometry. Source: OQMD, functional PBE-GGA.

For the total magnetization, the calculation gives 2.90 μB/f.u. For the distance to the lowest polymorph of the same formula, the calculation gives 0.00 kJ per mole of atoms.

The structure belongs to space group Cmcm (No. 63); the cell edges are 4.4201, 17.3024 and 11.9170 Å and the angles 90.00°, 90.00° and 90.00°. The asymmetric unit holds Cs at (0.0000, 0.2402, 0.2500), Pr at (0.0000, 0.5000, 0.0000), Co at (0.0000, 0.0313, 0.7500), Te at (0.0000, 0.1208, 0.5753) and Te at (0.0000, 0.4426, 0.7500).


[6]
Crystalline DyMgZr at its relaxed geometry. Source: OQMD, functional PBE-GGA.

Its energy is -4.239 eV per atom. For the total magnetization, the calculation gives 0.32 μB/f.u.

The structure belongs to space group F-43m (No. 216); the cell edges are 7.0267, 7.0267 and 7.0267 Å and the angles 90.00°, 90.00° and 90.00°. The asymmetric unit holds Dy at (0.0000, 0.0000, 0.0000), Mg at (0.2500, 0.2500, 0.2500) and Zr at (0.0000, 0.0000, 0.5000).


[7]
Crystalline NdAsPtO at its relaxed geometry. Source: OQMD, functional PBE-GGA.

Its energy is -6.530 eV per atom. For the total magnetization, the calculation gives 0.00 μB/f.u.

The structure belongs to space group Pmc2_1 (No. 26); the cell edges are 4.6921, 4.2436 and 7.3036 Å and the angles 90.00°, 90.00° and 90.00°. The asymmetric unit holds Nd at (0.0000, 0.2468, 0.0000), As at (0.5000, 0.2452, 0.6681), Pt at (0.5000, 0.2555, 0.3339) and O at (0.0000, 0.2535, 0.3339).


[8]
Crystalline ZrFeSbPt at its relaxed geometry. Source: OQMD, functional PBE-GGA.

For the total magnetization, the calculation gives 2.22 μB/f.u. For the distance to the lowest polymorph of the same formula, the calculation gives 7.16 kJ per mole of atoms.

The structure belongs to space group F-43m (No. 216); the cell edges are 6.5332, 6.5332 and 6.5332 Å and the angles 90.00°, 90.00° and 90.00°. The asymmetric unit holds Zr at (0.0000, 0.0000, 0.0000), Fe at (0.0000, 0.0000, 0.5000), Sb at (0.2500, 0.2500, 0.2500) and Pt at (0.2500, 0.2500, 0.7500).